Entry 1:
6
Lattice="2.590 -1.984 0.000 2.590 1.984 0.000 -0.781 0.000 5.715" Properties=species:S:1:pos:R:3 comment="VBN, optimized geometry, DFT PBE-GGA" formation_energy_uncorrected_mev_per_atom=-235.3 de_polymorph_mev_per_atom=300 pbc="T T T"
V 0.582 0.000 1.971
V 3.817 0.000 3.744
B 1.622 0.000 4.940
B 2.777 0.000 0.775
N 0.592 0.000 3.967
N 3.807 0.000 1.748

=====

Entry 2:
5
Lattice="3.817 0.000 0.000 0.000 3.817 0.000 0.000 0.000 3.817" Properties=species:S:1:pos:R:3 comment="V3BN, optimized geometry, DFT PBE-GGA" formation_energy_uncorrected_mev_per_atom=-208.2 de_polymorph_mev_per_atom=0 pbc="T T T"
V 0.000 0.000 1.909
V 0.000 1.909 0.000
V 1.909 0.000 0.000
B 1.909 1.909 1.909
N 0.000 0.000 0.000

=====

Entry 3:
6
Lattice="4.438 0.000 0.000 0.000 2.837 0.000 -1.732 0.000 4.468" Properties=species:S:1:pos:R:3 comment="VBN, optimized geometry, DFT PBE-GGA" formation_energy_uncorrected_mev_per_atom=-462.5 de_polymorph_mev_per_atom=73 pbc="T T T"
V 0.000 0.000 0.000
V -0.776 1.418 2.293
B 2.485 1.418 0.612
B 1.981 0.000 2.047
N -0.337 1.418 4.189
N 0.569 0.000 1.958

=====

| no. | E (eV/f.u.) |
| --- | --- |
| 1 | -24.83 |
| 2 | -43.40 |
| 3 | -25.51 |